Here is Sm2HoSn after structural relaxation from Alexandria. Energies are from PBE.

Summary:
formation enthalpy at 0 K: -7.61 kcal/mol of atoms
relative energy among the computed polymorphs: 100 meV per atom
energy: -4.83 eV per atom

abc: 3.640 6.501 11.370
angles: 75.03 80.81 73.83
Space group P-1 (No. 2)
Unique sites:
Sm  0.102  0.444  0.351 (multiplicity 2)
Sm  0.161  0.791  0.886 (multiplicity 2)
Ho  0.357  0.895  0.393 (multiplicity 2)
Sn  0.440  0.257  0.865 (multiplicity 2)